First-principles (PBE) data for Tl4Ge3Cl10 after structural relaxation, as listed in Alexandria.

The space group is I4/mmm (No. 139) and the conventional cell measures 5.275, 5.275 and 37.050 Å, with angles of 90.00, 90.00 and 90.00 degrees. Symmetry generates all atoms from Tl at (0.000, 0.000, 0.066), Tl at (0.000, 0.000, 0.200), Ge at (0.000, 0.000, 0.354), Ge at (0.000, 0.000, 0.500), Cl at (0.000, 0.000, 0.286), Cl at (0.000, 0.000, 0.429), Cl at (0.000, 0.500, 0.000) and Cl at (0.000, 0.500, 0.144).

The volume is 1031 Å³/cell. As for the formation energy (no corrections): -0.895 eV/atom.



First-principles (PBE) data for Tl5GeCl8 after structural relaxation, as listed in Alexandria.

The space group is I-4 (No. 82) and the conventional cell measures 9.167, 9.167 and 12.889 Å, with angles of 90.00, 90.00 and 90.00 degrees. Symmetry generates all atoms from Tl at (0.000, 0.000, 0.000), Tl at (0.001, 0.255, 0.372), Ge at (0.000, 0.500, 0.750), Cl at (0.001, 0.279, 0.138) and Cl at (0.001, 0.292, 0.646).

The volume is 1083 Å³/cell. As for the formation energy (no corrections): -0.917 eV/atom.



First-principles (PBE) data for TlGe3Cl12 after structural relaxation, as listed in Alexandria.

The space group is P6_3/m (No. 176) and the conventional cell measures 13.4783, 13.4783 and 8.0181 Å, with angles of 90.00, 90.00 and 120.00 degrees. Symmetry generates all atoms from Tl at (0.3333, 0.6667, 0.2500), Ge at (0.0964, 0.7083, 0.7500), Cl at (0.0092, 0.8060, 0.7500), Cl at (0.0261, 0.4754, 0.2500) and Cl at (0.2038, 0.7509, 0.5249).

The volume is 1261 Å³/cell. As for the formation energy (no corrections): -0.841 eV/atom.



First-principles (PBE) data for Tl3GeCl after structural relaxation, as listed in Alexandria.

The space group is Pm-3m (No. 221) and the conventional cell measures 5.781, 5.781 and 5.781 Å, with angles of 90.00, 90.00 and 90.00 degrees. Symmetry generates all atoms from Tl at (0.000, 0.000, 0.500), Ge at (0.500, 0.500, 0.500) and Cl at (0.000, 0.000, 0.000).

The volume is 193 Å³/cell. As for the formation energy (no corrections): 0.237 eV/atom. The energy above the most stable polymorph in this dataset comes out at 268 meV/atom.



First-principles (PBE) data for Tl3GeCl6 after structural relaxation, as listed in Alexandria.

The space group is Cmc2_1 (No. 36) and the conventional cell measures 12.071, 16.170 and 7.789 Å, with angles of 90.00, 90.00 and 90.00 degrees. Symmetry generates all atoms from Tl at (0.000, 0.093, 0.000), Tl at (0.199, 0.409, 0.990), Ge at (0.000, 0.311, 0.446), Cl at (0.000, 0.280, 0.739), Cl at (0.000, 0.453, 0.353), Cl at (0.151, 0.249, 0.319) and Cl at (0.162, 0.004, 0.744).

The volume is 1520 Å³/cell. As for the formation energy (no corrections): -0.888 eV/atom.



First-principles (PBE) data for Tl2GeCl6 after structural relaxation, as listed in Alexandria.

The space group is C2/m (No. 12) and the conventional cell measures 12.128, 7.018 and 6.392 Å, with angles of 90.00, 91.11 and 90.00 degrees. Symmetry generates all atoms from Tl at (0.169, 0.000, 0.185), Ge at (0.000, 0.500, 0.000), Cl at (0.077, 0.264, 0.791) and Cl at (0.159, 0.500, 0.212).

The volume is 544 Å³/cell. As for the formation energy (no corrections): -0.901 eV/atom.



First-principles (PBE) data for Tl3Ge2Cl7 after structural relaxation, as listed in Alexandria.

The space group is I4/mmm (No. 139) and the conventional cell measures 5.267, 5.267 and 26.423 Å, with angles of 90.00, 90.00 and 90.00 degrees. Symmetry generates all atoms from Tl at (0.000, 0.000, 0.000), Tl at (0.000, 0.000, 0.182), Ge at (0.000, 0.000, 0.398), Cl at (0.000, 0.000, 0.300), Cl at (0.000, 0.000, 0.500) and Cl at (0.000, 0.500, 0.099).

The volume is 733 Å³/cell. As for the formation energy (no corrections): -0.900 eV/atom. The energy above the most stable polymorph in this dataset comes out at 0 meV/atom.



First-principles (PBE) data for Tl2Ge2Cl after structural relaxation, as listed in Alexandria.

The space group is P4/mbm (No. 127) and the conventional cell measures 8.338, 8.338 and 4.138 Å, with angles of 90.00, 90.00 and 90.00 degrees. Symmetry generates all atoms from Tl at (0.202, 0.298, 0.000), Ge at (0.101, 0.601, 0.500) and Cl at (0.000, 0.000, 0.000).

The volume is 288 Å³/cell. As for the formation energy (no corrections): 0.030 eV/atom. The energy above the most stable polymorph in this dataset comes out at 186 meV/atom.



First-principles (PBE) data for Tl2GeCl4 after structural relaxation, as listed in Alexandria.

The space group is P2_1/m (No. 11) and the conventional cell measures 7.467, 6.790 and 9.394 Å, with angles of 90.00, 107.63 and 90.00 degrees. Symmetry generates all atoms from Tl at (0.096, 0.250, 0.400), Tl at (0.245, 0.750, 0.060), Ge at (0.459, 0.750, 0.633), Cl at (0.175, 0.250, 0.099), Cl at (0.200, 0.750, 0.394) and Cl at (0.325, 0.502, 0.737).

The volume is 454 Å³/cell. As for the formation energy (no corrections): -0.924 eV/atom. The energy above the most stable polymorph in this dataset comes out at 0 meV/atom.



First-principles (PBE) data for TlGe2Cl8 after structural relaxation, as listed in Alexandria.

The space group is C2/m (No. 12) and the conventional cell measures 13.307, 7.357 and 8.201 Å, with angles of 90.00, 111.05 and 90.00 degrees. Symmetry generates all atoms from Tl at (0.000, 0.000, 0.000), Ge at (0.205, 0.000, 0.694), Cl at (0.118, 0.500, 0.150), Cl at (0.128, 0.238, 0.764) and Cl at (0.170, 0.000, 0.406).

The volume is 749 Å³/cell. As for the formation energy (no corrections): -0.821 eV/atom.



First-principles (PBE) data for Tl2GeCl4 after structural relaxation, as listed in Alexandria.

The space group is I4/mmm (No. 139) and the conventional cell measures 5.249, 5.249 and 16.029 Å, with angles of 90.00, 90.00 and 90.00 degrees. Symmetry generates all atoms from Tl at (0.000, 0.000, 0.143), Ge at (0.000, 0.000, 0.500), Cl at (0.000, 0.000, 0.334) and Cl at (0.000, 0.500, 0.000).

The volume is 442 Å³/cell. As for the formation energy (no corrections): -0.913 eV/atom. The energy above the most stable polymorph in this dataset comes out at 11 meV/atom.



First-principles (PBE) data for Tl2Ge2Cl after structural relaxation, as listed in Alexandria.

The space group is I4/mmm (No. 139) and the conventional cell measures 3.730, 3.730 and 20.105 Å, with angles of 90.00, 90.00 and 90.00 degrees. Symmetry generates all atoms from Tl at (0.000, 0.000, 0.098), Ge at (0.000, 0.500, 0.250) and Cl at (0.000, 0.000, 0.500).

The volume is 280 Å³/cell. As for the formation energy (no corrections): -0.156 eV/atom. The energy above the most stable polymorph in this dataset comes out at 0 meV/atom.



First-principles (PBE) data for Tl2Ge2Cl after structural relaxation, as listed in Alexandria.

The space group is P4/mbm (No. 127) and the conventional cell measures 7.935, 7.935 and 4.178 Å, with angles of 90.00, 90.00 and 90.00 degrees. Symmetry generates all atoms from Tl at (0.194, 0.306, 0.000), Ge at (0.111, 0.611, 0.500) and Cl at (0.000, 0.000, 0.500).

The volume is 263 Å³/cell. As for the formation energy (no corrections): 0.015 eV/atom. The energy above the most stable polymorph in this dataset comes out at 171 meV/atom.



First-principles (PBE) data for Tl3GeCl after structural relaxation, as listed in Alexandria.

The space group is Pm-3m (No. 221) and the conventional cell measures 5.742, 5.742 and 5.742 Å, with angles of 90.00, 90.00 and 90.00 degrees. Symmetry generates all atoms from Tl at (0.000, 0.000, 0.500), Ge at (0.000, 0.000, 0.000) and Cl at (0.500, 0.500, 0.500).

The volume is 189 Å³/cell. As for the formation energy (no corrections): -0.031 eV/atom. The energy above the most stable polymorph in this dataset comes out at 0 meV/atom.



First-principles (PBE) data for Tl2Ge2Cl7 after structural relaxation, as listed in Alexandria.

The space group is C2/m (No. 12) and the conventional cell measures 11.344, 10.862 and 6.297 Å, with angles of 90.00, 97.64 and 90.00 degrees. Symmetry generates all atoms from Tl at (0.000, 0.230, 0.000), Ge at (0.230, 0.500, 0.469), Cl at (0.000, 0.500, 0.500), Cl at (0.093, 0.000, 0.275) and Cl at (0.235, 0.162, 0.757).

The volume is 769 Å³/cell. As for the formation energy (no corrections): -0.835 eV/atom.



First-principles (PBE) data for Tl4GeCl5 after structural relaxation, as listed in Alexandria.

The space group is I4 (No. 79) and the conventional cell measures 9.874, 9.874 and 6.545 Å, with angles of 90.00, 90.00 and 90.00 degrees. Symmetry generates all atoms from Tl at (0.084, 0.295, 0.000), Ge at (0.000, 0.000, 0.538), Cl at (0.000, 0.000, 0.121) and Cl at (0.098, 0.260, 0.509).

The volume is 638 Å³/cell. As for the formation energy (no corrections): -0.768 eV/atom.



First-principles (PBE) data for TlGe2Cl after structural relaxation, as listed in Alexandria.

The space group is Fm-3m (No. 225) and the conventional cell measures 7.127, 7.127 and 7.127 Å, with angles of 90.00, 90.00 and 90.00 degrees. Symmetry generates all atoms from Tl at (0.000, 0.000, 0.000), Ge at (0.250, 0.250, 0.250) and Cl at (0.000, 0.000, 0.500).

The volume is 362 Å³/cell. As for the formation energy (no corrections): 0.254 eV/atom. The energy above the most stable polymorph in this dataset comes out at 185 meV/atom.



First-principles (PBE) data for TlGeCl4 after structural relaxation, as listed in Alexandria.

The space group is C2/c (No. 15) and the conventional cell measures 9.451, 16.290 and 6.603 Å, with angles of 90.00, 130.56 and 90.00 degrees. Symmetry generates all atoms from Tl at (0.000, 0.118, 0.250), Ge at (0.000, 0.353, 0.750), Cl at (0.155, 0.286, 0.621) and Cl at (0.221, 0.439, 0.087).

The volume is 772 Å³/cell. As for the formation energy (no corrections): -0.811 eV/atom.



First-principles (PBE) data for TlGe2Cl5 after structural relaxation, as listed in Alexandria.

The space group is Cmcm (No. 63) and the conventional cell measures 5.346, 12.257 and 14.155 Å, with angles of 90.00, 90.00 and 90.00 degrees. Symmetry generates all atoms from Tl at (0.000, 0.014, 0.250), Ge at (0.000, 0.360, 0.070), Cl at (0.000, 0.148, 0.564), Cl at (0.000, 0.306, 0.250) and Cl at (0.000, 0.449, 0.614).

The volume is 928 Å³/cell. As for the formation energy (no corrections): -0.844 eV/atom.



First-principles (PBE) data for TlGe3Cl7 after structural relaxation, as listed in Alexandria.

The space group is C2/m (No. 12) and the conventional cell measures 9.656, 9.592 and 6.765 Å, with angles of 90.00, 105.01 and 90.00 degrees. Symmetry generates all atoms from Tl at (0.000, 0.000, 0.000), Ge at (0.000, 0.286, 0.500), Ge at (0.000, 0.500, 0.000), Cl at (0.000, 0.000, 0.500), Cl at (0.148, 0.500, 0.707) and Cl at (0.154, 0.300, 0.228).

The volume is 605 Å³/cell. As for the formation energy (no corrections): -0.759 eV/atom.



Number 1: total energy -3.353 eV per atom. Number 2: total energy -3.147 eV per atom. Number 3: total energy -3.240 eV per atom. Number 4: total energy -2.475 eV per atom. Number 5: total energy -3.167 eV per atom. Number 6: total energy -3.171 eV per atom. Number 7: total energy -3.339 eV per atom. Number 8: total energy -3.132 eV per atom. Number 9: total energy -3.315 eV per atom. Number 10: total energy -3.219 eV per atom. Number 11: total energy -3.304 eV per atom. Number 12: total energy -3.319 eV per atom. Number 13: total energy -3.148 eV per atom. Number 14: total energy -2.743 eV per atom. Number 15: total energy -3.280 eV per atom. Number 16: total energy -3.099 eV per atom. Number 17: total energy -3.108 eV per atom. Number 18: total energy -3.206 eV per atom. Number 19: total energy -3.449 eV per atom. Number 20: total energy -3.408 eV per atom.